DFT (PBE) results for crystalline MgSc2MnS at its relaxed geometry.

The total moment comes out at 0.0 μB/cell. The total DFT energy (no corrections) is -5.311 eV/atom. For the raw formation energy, the calculation gives 4.6 kcal/mol of atoms.

```
data_MgSc2MnS
_chemical_formula_sum 'Mg1 Sc2 Mn1 S1'
_space_group_name_H-M_alt 'P 4/m m m'
_space_group_IT_number 123
_space_group_name_Hall '-P 4 2'
_cell_length_a 4.6442
_cell_length_b 4.6442
_cell_length_c 4.8891
_cell_angle_alpha 90.00
_cell_angle_beta 90.00
_cell_angle_gamma 90.00
loop_
_atom_site_label
_atom_site_fract_x
_atom_site_fract_y
_atom_site_fract_z
_atom_site_occupancy
Mg1 0.0000 0.0000 0.0000 1
Sc1 0.0000 0.5000 0.5000 1
Mn1 0.0000 0.0000 0.5000 1
S1 0.5000 0.5000 0.0000 1
```